1.
The following is a DFT calculation (GGA-PBE) of a relaxed Tb6Pm3SmTh2 crystal.

Unit cell a=6.234 b=6.234 c=11.836 alpha=95.05 beta=95.05 gamma=119.97
Fractional positions:
Tb1 0.080 0.418 0.754
Tb2 0.244 0.244 0.246
Tb3 0.418 0.080 0.754
Tb4 0.582 0.920 0.246
Tb5 0.756 0.756 0.754
Tb6 0.920 0.582 0.246
Pm1 0.000 0.000 0.500
Pm2 0.334 0.666 0.500
Pm3 0.666 0.334 0.500
Sm1 0.500 0.500 0.000
Th1 0.167 0.833 0.000
Th2 0.833 0.167 0.000

## Properties
- SG: C2/m
- Calculated density: 8.480 g cm⁻³
- Formation energy: 0.02 eV per atom
- Crystal system: monoclinic



2.
The following is a DFT calculation (GGA-PBE) of a relaxed CeReB14 crystal.

Unit cell a=7.449 b=7.449 c=7.449 alpha=133.58 beta=85.75 gamma=112.63
Fractional positions:
Ce1 0.374 0.124 0.250
Ce2 0.626 0.876 0.750
Re1 0.000 0.000 0.500
Re2 0.000 0.500 0.000
B1 0.011 0.132 0.879
B2 0.028 0.205 0.332
B3 0.028 0.696 0.824
B4 0.087 0.670 0.418
B5 0.205 0.538 0.667
B6 0.224 0.498 0.400
B7 0.224 0.824 0.726
B8 0.248 0.330 0.918
B9 0.248 0.868 0.379
B10 0.371 0.538 0.833
B11 0.372 0.205 0.676
B12 0.372 0.696 0.168
B13 0.402 0.176 0.900
B14 0.402 0.502 0.226
B15 0.598 0.498 0.774
B16 0.598 0.824 0.100
B17 0.628 0.304 0.832
B18 0.628 0.795 0.324
B19 0.629 0.462 0.167
B20 0.752 0.132 0.621
B21 0.752 0.670 0.082
B22 0.776 0.176 0.274
B23 0.776 0.502 0.600
B24 0.795 0.462 0.333
B25 0.913 0.330 0.582
B26 0.972 0.304 0.176
B27 0.972 0.795 0.668
B28 0.989 0.868 0.121

## Properties
- SG: Imma
- Calculated density: 5.990 g cm⁻³
- Formation energy: -0.07 eV per atom
- Crystal system: orthorhombic



no.,total energy (eV/atom)
1,-5.11
2,-7.06